1.
VASP calculation (PBE) on a relaxed PrTm2Pb crystal.

Summary:
Fermi-level density of states	4.25	states/eV/f.u.
total magnetization	0.00	μB/f.u.
volume	131	Å³/f.u.
ΔE_f	63	meV/atom

Cell: 3.5430 3.5430 36.0564 Å, 90.00 90.00 120.00°
With the nearest neighbours (Å) after each atom.
Space group R-3m (No. 166, hexagonal axes)
Symmetry-distinct sites (fractional):
Pr 0.0000 0.0000 0.0000  6 Tm 3.53, 6 Pr 3.54
Tm 0.0000 0.0000 0.4130  1 Pb 3.14
Pb 0.0000 0.0000 0.5000  2 Tm 3.14

2.
VASP calculation (PBE) on a relaxed PrTm5Pb3 crystal.

Summary:
Fermi-level density of states	10.92	states/eV/f.u.
total magnetization	0.00	μB/f.u.
volume	253	Å³/f.u.
ΔE_f	-351	meV/atom

Cell: 9.4281 9.4281 6.5736 Å, 90.00 90.00 120.00°
With the nearest neighbours (Å) after each atom.
Space group P6_3/mcm (No. 193)
Symmetry-distinct sites (fractional):
Pr 0.0000 0.0000 0.0000  2 Pr 3.29, 6 Tm 3.54, 6 Pb 3.59
Tm 0.0000 0.3323 0.2500  5 Pb 3.11-3.29
Tm 0.3333 0.6667 0.0000  8 Tm 3.29-3.55, 6 Pb 3.53
Pb 0.0000 0.3383 0.7500  5 Tm 3.11-3.29

3.
VASP calculation (PBE) on a relaxed Pr3TmPb3 crystal.

Summary:
Fermi-level density of states	7.81	states/eV/f.u.
total magnetization	0.00	μB/f.u.
volume	228	Å³/f.u.
ΔE_f	-369	meV/atom

Cell: 8.4780 10.9538 9.8241 Å, 90.00 90.64 90.00°
With the nearest neighbours (Å) after each atom.
Space group C2/m (No. 12)
Symmetry-distinct sites (fractional):
Pr 0.0000 0.1842 0.0000  6 Pb 3.29-3.33
Pr 0.0000 0.2301 0.5000  6 Pb 3.32-3.42, 4 Tm 3.47-3.53
Pr 0.0777 0.5000 0.8098  5 Pb 3.36-3.59, 2 Tm 3.58-3.62
Tm 0.2111 0.5000 0.4650  4 Pb 3.22-3.39, 5 Pr 3.47-3.58
Pb 0.0369 0.0000 0.2679  5 Pr 3.33-3.42, 2 Tm 3.36-3.39, 4 Pb 3.46-3.57
Pb 0.2376 0.2858 0.2413  1 Tm 3.22, 6 Pr 3.29-3.59, 2 Pb 3.46-3.57

4.
VASP calculation (PBE) on a relaxed Pr4Tm5Pb2 crystal.

Summary:
Fermi-level density of states	16.56	states/eV/f.u.
total magnetization	0.10	μB/f.u.
volume	384	Å³/f.u.
ΔE_f	178	meV/atom

Cell: 5.2883 5.2883 47.5984 Å, 90.00 90.00 120.00°
With the nearest neighbours (Å) after each atom.
Space group R-3m (No. 166, hexagonal axes)
Symmetry-distinct sites (fractional):
Pr 0.0000 0.0000 0.0722  3 Pb 3.42, 5 Tm 3.44-3.63, 3 Pr 3.55
Pr 0.0000 0.0000 0.2231  5 Tm 3.55-3.77, 3 Pr 3.55
Tm 0.0000 0.0000 0.0000  6 Tm 3.39, 2 Pr 3.44, 6 Pb 3.60
Tm 0.0000 0.0000 0.1486  3 Tm 3.51, 5 Pr 3.55-3.63
Tm 0.0000 0.0000 0.3024  4 Pb 3.08-3.38, 3 Tm 3.39
Pb 0.0000 0.0000 0.3733  4 Tm 3.08-3.38, 3 Pr 3.42

5.
VASP calculation (PBE) on a relaxed PrTm2Pb9 crystal.

Summary:
Fermi-level density of states	6.94	states/eV/f.u.
total magnetization	0.00	μB/f.u.
volume	351	Å³/f.u.
ΔE_f	-274	meV/atom

Cell: 4.9027 4.9027 14.6115 Å, 90.00 90.00 90.00°
With the nearest neighbours (Å) after each atom.
Space group P4/mmm (No. 123)
Symmetry-distinct sites (fractional):
Pr 0.0000 0.0000 0.0000  12 Pb 3.47-3.51
Tm 0.0000 0.0000 0.3341  12 Pb 3.41-3.47
Pb 0.0000 0.5000 0.1721  2 Tm 3.41, 8 Pb 3.43-3.51, 2 Pr 3.51
Pb 0.0000 0.5000 0.5000  8 Pb 3.43-3.47, 4 Tm 3.45
Pb 0.5000 0.5000 0.0000  4 Pr 3.47, 8 Pb 3.51
Pb 0.5000 0.5000 0.3361  8 Pb 3.43, 4 Tm 3.47

6.
VASP calculation (PBE) on a relaxed PrTm2Pb crystal.

Summary:
Fermi-level density of states	5.47	states/eV/f.u.
total magnetization	0.00	μB/f.u.
volume	126	Å³/f.u.
ΔE_f	-315	meV/atom

Cell: 4.6789 4.7760 11.5071 Å, 90.00 101.62 90.00°
With the nearest neighbours (Å) after each atom.
Space group P2_1/m (No. 11)
Symmetry-distinct sites (fractional):
Pr 0.1895 0.2500 0.3828  5 Pb 3.31-3.41
Tm 0.0540 0.7500 0.1087  8 Tm 3.35-3.51, 2 Pb 3.36-3.37
Tm 0.4389 0.7500 0.8767  2 Pb 3.28, 8 Tm 3.35-3.67
Pb 0.3407 0.2500 0.6769  4 Tm 3.28-3.37, 5 Pr 3.31-3.41

7.
VASP calculation (PBE) on a relaxed PrTm4Pb2 crystal.

Summary:
Fermi-level density of states	6.70	states/eV/f.u.
total magnetization	0.00	μB/f.u.
volume	219	Å³/f.u.
ΔE_f	-235	meV/atom

Cell: 9.7851 9.7851 4.5796 Å, 90.00 90.00 90.00°
With the nearest neighbours (Å) after each atom.
Space group P4_2/mnm (No. 136)
Symmetry-distinct sites (fractional):
Pr 0.0000 0.0000 0.0000  4 Pb 3.41
Tm 0.0941 0.3458 0.5000  3 Pb 3.14-3.18, 5 Tm 3.39-3.48
Pb 0.1823 0.8177 0.5000  6 Tm 3.14-3.18, 2 Pr 3.41

8.
VASP calculation (PBE) on a relaxed PrTm2Pb crystal.

Summary:
Fermi-level density of states	4.86	states/eV/f.u.
total magnetization	0.00	μB/f.u.
volume	122	Å³/f.u.
ΔE_f	-191	meV/atom

Cell: 3.6589 3.6589 9.1501 Å, 90.00 90.00 90.00°
With the nearest neighbours (Å) after each atom.
Space group P4/mmm (No. 123)
Symmetry-distinct sites (fractional):
Pr 0.0000 0.0000 0.0000  8 Tm 3.59, 4 Pr 3.66
Tm 0.5000 0.5000 0.2714  4 Pb 3.33, 4 Pr 3.59, 4 Tm 3.66
Pb 0.0000 0.0000 0.5000  8 Tm 3.33, 4 Pb 3.66